Compound: KZrNiTe3
Source: OQMD
Functional: GGA-PBE
Structure: relaxed

Cell: 9.369 4.010 10.707 Å, 90.00 115.34 90.00°
Space group P2_1/m (No. 11)
Unique sites:
K: 0.249 0.250 0.224 x2
Zr: 0.201 0.750 0.673 x2
Ni: 0.408 0.250 0.893 x2
Te: 0.047 0.750 0.362 x2
Te: 0.290 0.750 0.965 x2
Te: 0.411 0.250 0.654 x2

## Properties
Crystal system: monoclinic
Magnetic moment in μB per formula unit: 0.006
Density in g cm⁻³: 5.2
Calculated total energy in eV/atom: -4.894


Compound: LiNbAuSe2S
Source: OQMD
Functional: GGA-PBE
Structure: relaxed

Cell: 3.565 13.297 9.937 Å, 90.00 90.00 90.00°
Space group Cmcm (No. 63)
Unique sites:
Li: 0.000 0.247 0.250 x4
Nb: 0.000 0.500 0.000 x4
Au: 0.000 0.058 0.750 x4
Se: 0.000 0.146 0.529 x8
S: 0.000 0.411 0.750 x4

## Properties
Crystal system: orthorhombic
Magnetic moment in μB per formula unit: 0.016
Density in g cm⁻³: 6.9
Calculated total energy in eV/atom: -4.915


Compound: RbTbErTe3
Source: OQMD
Functional: GGA-PBE
Structure: relaxed

Cell: 4.723 16.851 11.745 Å, 90.00 90.00 90.00°
Space group Cmcm (No. 63)
Unique sites:
Rb: 0.000 0.246 0.250 x4
Tb: 0.000 0.033 0.750 x4
Er: 0.000 0.500 0.000 x4
Te: 0.000 0.124 0.538 x8
Te: 0.000 0.429 0.750 x4

## Properties
Crystal system: orthorhombic
Magnetic moment in μB per formula unit: 0.232
Density in g cm⁻³: 5.6
Polymorph energy (0 for the lowest one) in eV/f.u.: 0.14


Compound: BaDyTeAuSe2
Source: OQMD
Functional: GGA-PBE
Structure: relaxed

Cell: 4.229 15.065 11.050 Å, 90.00 90.00 90.00°
Space group Cmcm (No. 63)
Unique sites:
Ba: 0.000 0.224 0.250 x4
Dy: 0.000 0.000 0.000 x4
Te: 0.000 0.093 0.750 x4
Au: 0.000 0.471 0.750 x4
Se: 0.000 0.371 0.554 x8

## Properties
Crystal system: orthorhombic
Magnetic moment in μB per formula unit: 0.005
Density in g cm⁻³: 7.4
Calculated total energy in eV/atom: -4.712